Record 1
Below is a geometry-optimized TaTlZnFe structure, with properties calculated at the GGA-PBE level.

Lattice parameters (Å, degrees): 6.333 6.333 6.333 90.00 90.00 90.00
Space group F-43m (No. 216)
Symmetry-distinct sites (fractional):
Ta 0.000 0.000 0.000 (multiplicity 4)
Tl 0.000 0.000 0.500 (multiplicity 4)
Zn 0.250 0.250 0.250 (multiplicity 4)
Fe 0.250 0.250 0.750 (multiplicity 4)

Output
* raw total energy: -87.96 eV/cell
* magnetic moment: 0.3 μB/f.u.
* relative energy among the computed polymorphs: 0 kJ/mol of formula units
* volume: 15.878 Å³ per atom

Record 2
Below is a geometry-optimized TaTlZnFe structure, with properties calculated at the GGA-PBE level.

Lattice parameters (Å, degrees): 6.463 6.463 6.463 90.00 90.00 90.00
Space group F-43m (No. 216)
Symmetry-distinct sites (fractional):
Ta 0.000 0.000 0.000 (multiplicity 4)
Tl 0.250 0.250 0.250 (multiplicity 4)
Zn 0.250 0.250 0.750 (multiplicity 4)
Fe 0.000 0.000 0.500 (multiplicity 4)

Output
* raw total energy: -85.11 eV/cell
* magnetic moment: 1.8 μB/f.u.
* relative energy among the computed polymorphs: 69 kJ/mol of formula units
* volume: 16.871 Å³ per atom

Record 3
Below is a geometry-optimized ZrTaTlFe structure, with properties calculated at the GGA-PBE level.

Lattice parameters (Å, degrees): 6.621 6.621 6.621 90.00 90.00 90.00
Space group F-43m (No. 216)
Symmetry-distinct sites (fractional):
Zr 0.000 0.000 0.000 (multiplicity 4)
Ta 0.250 0.250 0.750 (multiplicity 4)
Tl 0.250 0.250 0.250 (multiplicity 4)
Fe 0.000 0.000 0.500 (multiplicity 4)

Output
* raw total energy: -116.55 eV/cell
* magnetic moment: 1.9 μB/f.u.
* relative energy among the computed polymorphs: 0 kJ/mol of formula units
* volume: 18.144 Å³ per atom

Record 4
Below is a geometry-optimized UTaFe structure, with properties calculated at the GGA-PBE level.

Lattice parameters (Å, degrees): 6.105 6.105 6.105 90.00 90.00 90.00
Space group F-43m (No. 216)
Symmetry-distinct sites (fractional):
U 0.000 0.000 0.000 (multiplicity 4)
Ta 0.250 0.250 0.750 (multiplicity 4)
Fe 0.250 0.250 0.250 (multiplicity 4)

Output
* raw total energy: -113.33 eV/cell
* magnetic moment: 0.0 μB/f.u.
* relative energy among the computed polymorphs: 155 kJ/mol of formula units
* volume: 18.964 Å³ per atom
* calculated formation energy: 1.0418 eV/atom

Record 5
Below is a geometry-optimized UTaFe structure, with properties calculated at the GGA-PBE level.

Lattice parameters (Å, degrees): 6.099 6.099 6.099 90.00 90.00 90.00
Space group F-43m (No. 216)
Symmetry-distinct sites (fractional):
U 0.000 0.000 0.000 (multiplicity 4)
Ta 0.000 0.000 0.500 (multiplicity 4)
Fe 0.250 0.250 0.250 (multiplicity 4)

Output
* raw total energy: -119.74 eV/cell
* magnetic moment: 2.0 μB/f.u.
* relative energy among the computed polymorphs: 0 kJ/mol of formula units
* volume: 18.904 Å³ per atom
* calculated formation energy: 0.5076 eV/atom

Record 6
Below is a geometry-optimized TaFe6W structure, with properties calculated at the GGA-PBE level.

Lattice parameters (Å, degrees): 4.134 5.053 4.581 90.00 90.00 90.00
Space group Pmm2 (No. 25)
Symmetry-distinct sites (fractional):
Ta 0.000 0.000 0.000 (multiplicity 1)
Fe 0.000 0.258 0.515 (multiplicity 2)
Fe 0.000 0.500 0.056 (multiplicity 1)
Fe 0.500 0.000 0.671 (multiplicity 1)
Fe 0.500 0.251 0.224 (multiplicity 2)
W 0.500 0.500 0.733 (multiplicity 1)

Output
* raw total energy: -74.24 eV/cell
* magnetic moment: 3.8 μB/f.u.
* volume: 11.960 Å³ per atom
* calculated formation energy: 0.0534 eV/atom

Record 7
Below is a geometry-optimized TaZnFeW structure, with properties calculated at the GGA-PBE level.

Lattice parameters (Å, degrees): 6.222 6.222 6.222 90.00 90.00 90.00
Space group F-43m (No. 216)
Symmetry-distinct sites (fractional):
Ta 0.000 0.000 0.000 (multiplicity 4)
Zn 0.000 0.000 0.500 (multiplicity 4)
Fe 0.250 0.250 0.750 (multiplicity 4)
W 0.250 0.250 0.250 (multiplicity 4)

Output
* raw total energy: -132.58 eV/cell
* magnetic moment: 2.8 μB/f.u.
* relative energy among the computed polymorphs: 0 kJ/mol of formula units
* volume: 15.056 Å³ per atom
* calculated formation energy: 0.3101 eV/atom

Record 8
Below is a geometry-optimized Y2TaFe structure, with properties calculated at the GGA-PBE level.

Lattice parameters (Å, degrees): 6.857 6.857 6.857 90.00 90.00 90.00
Space group F-43m (No. 216)
Symmetry-distinct sites (fractional):
Y 0.000 0.000 0.000 (multiplicity 4)
Y 0.250 0.250 0.250 (multiplicity 4)
Ta 0.000 0.000 0.500 (multiplicity 4)
Fe 0.250 0.250 0.750 (multiplicity 4)

Output
* raw total energy: -122.85 eV/cell
* magnetic moment: 0.7 μB/f.u.
* volume: 20.149 Å³ per atom
* calculated formation energy: 0.5945 eV/atom

Record 9
Below is a geometry-optimized TaZnFe2 structure, with properties calculated at the GGA-PBE level.

Lattice parameters (Å, degrees): 6.033 6.033 6.033 90.00 90.00 90.00
Space group F-43m (No. 216)
Symmetry-distinct sites (fractional):
Ta 0.000 0.000 0.000 (multiplicity 4)
Zn 0.250 0.250 0.250 (multiplicity 4)
Fe 0.000 0.000 0.500 (multiplicity 4)
Fe 0.250 0.250 0.750 (multiplicity 4)

Output
* raw total energy: -117.34 eV/cell
* magnetic moment: 4.5 μB/f.u.
* volume: 13.726 Å³ per atom
* calculated formation energy: 0.0998 eV/atom

Record 10
Below is a geometry-optimized TaZn2Fe structure, with properties calculated at the GGA-PBE level.

Lattice parameters (Å, degrees): 6.089 6.089 6.089 90.00 90.00 90.00
Space group F-43m (No. 216)
Symmetry-distinct sites (fractional):
Ta 0.000 0.000 0.000 (multiplicity 4)
Zn 0.000 0.000 0.500 (multiplicity 4)
Zn 0.250 0.250 0.750 (multiplicity 4)
Fe 0.250 0.250 0.250 (multiplicity 4)

Output
* raw total energy: -89.75 eV/cell
* magnetic moment: 1.1 μB/f.u.
* relative energy among the computed polymorphs: 0 kJ/mol of formula units
* volume: 14.113 Å³ per atom
* calculated formation energy: 0.0631 eV/atom

Record 11
Below is a geometry-optimized TaZn2Fe structure, with properties calculated at the GGA-PBE level.

Lattice parameters (Å, degrees): 6.111 6.111 6.111 90.00 90.00 90.00
Space group Fm-3m (No. 225)
Symmetry-distinct sites (fractional):
Ta 0.000 0.000 0.000 (multiplicity 4)
Zn 0.250 0.250 0.250 (multiplicity 8)
Fe 0.000 0.000 0.500 (multiplicity 4)

Output
* raw total energy: -87.10 eV/cell
* magnetic moment: 1.9 μB/f.u.
* relative energy among the computed polymorphs: 64 kJ/mol of formula units
* volume: 14.265 Å³ per atom
* calculated formation energy: 0.2288 eV/atom

Record 12
Below is a geometry-optimized Zr2TaFe2 structure, with properties calculated at the GGA-PBE level.

Lattice parameters (Å, degrees): 4.158 4.158 10.234 90.00 90.00 90.00
Space group I4/mmm (No. 139)
Symmetry-distinct sites (fractional):
Zr 0.000 0.500 0.250 (multiplicity 4)
Ta 0.000 0.000 0.000 (multiplicity 2)
Fe 0.000 0.000 0.403 (multiplicity 4)

Output
* raw total energy: -87.15 eV/cell
* magnetic moment: 0.0 μB/f.u.
* relative energy among the computed polymorphs: 20 kJ/mol of formula units
* volume: 17.694 Å³ per atom
* calculated formation energy: 0.3982 eV/atom

- The lowest volume belongs to which entry?
  TaFe6W

- Which of these has the highest magnetic moment?
  TaZnFe2

What did the second record say?
Below is a geometry-optimized TaTlZnFe structure, with properties calculated at the GGA-PBE level.

Lattice parameters (Å, degrees): 6.463 6.463 6.463 90.00 90.00 90.00
Space group F-43m (No. 216)
Symmetry-distinct sites (fractional):
Ta 0.000 0.000 0.000 (multiplicity 4)
Tl 0.250 0.250 0.250 (multiplicity 4)
Zn 0.250 0.250 0.750 (multiplicity 4)
Fe 0.000 0.000 0.500 (multiplicity 4)

Output
* raw total energy: -85.11 eV/cell
* magnetic moment: 1.8 μB/f.u.
* relative energy among the computed polymorphs: 69 kJ/mol of formula units
* volume: 16.871 Å³ per atom

- Look up the volume of the second one.
  16.871 Å³ per atom